Record 1
BaCdGaSb2: optimized geometry, PBE.

```
10
Lattice="5.3268 0.0000 0.0000 -2.6634 6.5754 0.1111 0.0000 -1.4613 9.5211" Properties=species:S:1:pos:R:3 pbc="T T T"
Ga 0.0000 3.3048 8.9954
Ga 2.6634 1.8093 0.6368
Sb 2.6634 4.7006 0.4646
Sb 0.0000 4.0305 6.3664
Sb 0.0000 0.4135 9.1675
Sb 2.6634 1.0836 3.2658
Ba 0.0000 3.9472 2.8602
Ba 2.6634 1.1669 6.7720
Cd 2.6634 4.8345 7.3255
Cd 0.0000 0.2796 2.3067
```

Calculated values
**Space group**: No. 12
**E above lowest polymorph**: 0.0000 eV/atom
**Energy relative to the elements, uncorrected**: -435 meV per atom
**DOS at the Fermi energy**: 1.12 states/eV/f.u.

***

Record 2
Sc2MnCr: optimized geometry, PBE.

```
8
Lattice="-2.6547 6.4338 -1.9733 -3.1460 0.6887 6.4779 -0.5061 4.8633 3.2767" Properties=species:S:1:pos:R:3 pbc="T T T"
Cr -2.9004 3.5612 2.2523
Cr -3.2763 4.5566 6.0034
Sc -5.4623 9.8811 6.4135
Sc -2.1849 5.3373 0.3912
Sc -2.5479 6.3168 4.1323
Sc -2.4187 2.4361 4.6256
Mn -3.0306 7.4291 1.7779
Mn 0.0000 0.0000 0.0000
```

Calculated values
**Space group**: No. 122
**E above lowest polymorph**: 0.5135 eV/atom
**DOS at the Fermi energy**: 6.46 states/eV/f.u.

***

Record 3
MnGaHOs: optimized geometry, PBE.

```
4
Lattice="-1.4958 -0.7009 4.0585 -1.0679 -2.6305 -0.8479 3.9187 -1.2948 -0.9189" Properties=species:S:1:pos:R:3 pbc="T T T"
Mn 2.4998 -0.8470 -0.5210
H 0.5103 -0.8013 1.8432
Ga 2.1989 -2.9994 1.3588
Os 0.1070 -1.8743 0.5031
```

Calculated values
**Space group**: No. 6
**E above lowest polymorph**: 0.1084 eV/atom
**DOS at the Fermi energy**: 2.28 states/eV/f.u.

***

Record 4
AlCu3Au6: optimized geometry, PBE.

```
20
Lattice="-1.9113 -1.5002 6.5189 2.1686 -6.1373 -0.7766 6.6888 2.0523 2.4590" Properties=species:S:1:pos:R:3 pbc="T T T"
Au 5.9236 -2.5749 2.8448
Au 3.4227 -1.5455 1.8071
Au 4.1326 -4.8764 2.7080
Au 2.2080 -6.0050 4.6655
Au 6.0614 -3.2986 7.3616
Au 3.5234 -4.0397 6.3942
Au 4.7381 0.4197 3.5357
Au 1.0225 -3.0104 5.3564
Au 2.8135 -0.7089 5.4933
Au 5.3309 0.0905 6.4681
Au 0.8847 -2.2867 0.8396
Au 1.6152 -5.6758 1.7332
Cu 3.8557 -1.7209 7.7184
Cu 5.6998 -4.2127 4.8927
Cu 1.2463 -1.3726 3.3085
Cu 0.1287 -3.8188 2.8711
Cu 3.0904 -3.8643 0.4828
Cu 3.3444 1.0262 1.2295
Al 0.0000 0.0000 0.0000
Al 3.4731 -2.7926 4.1006
```

Calculated values
**Space group**: No. 14
**E above lowest polymorph**: 0.0544 eV/atom
**DOS at the Fermi energy**: 3.18 states/eV/f.u.

***

Record 5
LiHfAgBr6: optimized geometry, PBE.

```
18
Lattice="-5.5958 -3.9041 0.3868 3.9735 0.8309 5.4978 -6.8487 10.1546 3.4152" Properties=species:S:1:pos:R:3 pbc="T T T"
Br -2.0088 -0.6882 4.2266
Br -5.3130 4.4485 5.9983
Br -3.1580 2.6328 3.3014
Br -3.4227 9.3172 6.5670
Br -5.5035 0.4233 5.1674
Br -2.9675 6.6580 4.1323
Br -5.0483 -2.2359 2.7328
Br -5.6156 7.1396 8.6441
Br -2.8554 -0.0583 0.6556
Br -6.1352 1.2033 1.5816
Br -6.4622 7.7695 5.0732
Br -2.3358 5.8781 7.7181
Hf -4.3528 6.8685 6.3555
Hf -4.1182 0.2128 2.9442
Li -0.9284 1.7912 4.6479
Li -7.5426 5.2901 4.6518
Ag 0.0000 0.0000 0.0000
Ag -3.4244 5.0773 1.7076
```

Calculated values
**Space group**: No. 163
**Energy relative to the elements, uncorrected**: -1175 meV per atom
**DOS at the Fermi energy**: 0.00 states/eV/f.u.

***

Record 6
Nd2SmSc: optimized geometry, PBE.

```
4
Lattice="-0.6125 1.9816 2.9186 -3.2139 -0.0801 1.5762 2.1989 -8.0741 8.1399" Properties=species:S:1:pos:R:3 pbc="T T T"
Sc -0.8137 -3.0863 6.3173
Sm 0.0000 0.0000 0.0000
Nd -1.2622 -4.5251 9.3964
Nd -0.3652 -1.6475 3.2382
```

Calculated values
**Space group**: No. 166
**E above lowest polymorph**: 0.0117 eV/atom
**DOS at the Fermi energy**: 4.79 states/eV/f.u.

***

Record 7
Tb2NdAlPd4: optimized geometry, PBE.

```
8
Lattice="-2.9552 -0.8933 3.7178 -4.1611 -2.3463 -0.7306 1.4374 -8.2428 2.3027" Properties=species:S:1:pos:R:3 pbc="T T T"
Nd 0.0000 0.0000 0.0000
Pd -1.6204 -8.0334 3.0632
Pd -5.6462 -6.0038 3.4916
Pd -4.0585 -3.4490 2.2268
Pd -0.0327 -5.4787 1.7984
Tb -1.3404 -3.0197 1.3497
Tb -4.3385 -8.4627 3.9403
Al -2.8395 -5.7412 2.6450
```

Calculated values
**Space group**: No. 166
**DOS at the Fermi energy**: 5.59 states/eV/f.u.

***

Record 8
DyY8Th4: optimized geometry, PBE.

```
13
Lattice="6.5087 -0.0005 -3.5115 -4.2014 6.0862 -0.0005 1.1127 0.7689 9.8503" Properties=species:S:1:pos:R:3 pbc="T T T"
Y 0.7481 5.0097 1.3859
Y 0.8783 5.1000 5.0849
Y -2.6840 5.1391 2.8121
Y -0.3479 1.7549 2.8124
Y 2.6720 1.8449 4.9525
Y 2.5417 1.7547 1.2535
Y 6.1041 1.7156 3.5262
Y 3.7679 5.0998 3.5260
Th -2.1007 3.0431 -0.0002
Th 1.1537 3.0429 -1.7560
Th 3.2544 -0.0002 -1.7557
Th 0.0000 0.0000 0.0000
Dy -1.5443 3.4276 4.9249
```

Calculated values
**Space group**: No. 166
**DOS at the Fermi energy**: 14.76 states/eV/f.u.

***

Record 9
LaSeN2: optimized geometry, PBE.

```
8
Lattice="-2.5757 -2.2527 -3.5064 2.0363 -4.2767 1.2518 -4.8062 -4.2618 2.8456" Properties=species:S:1:pos:R:3 pbc="T T T"
La -3.8258 -4.8897 -0.8940
La 0.0000 0.0000 0.0000
Se -0.2697 -3.2647 -1.1273
Se -1.5198 -5.9016 1.4851
N -2.4372 -2.9034 -1.1608
N -4.1711 -8.7111 0.1034
N -0.3704 -4.1246 0.8927
N -3.7124 -5.8435 1.3469
```

Calculated values
**Space group**: No. 122
**E above lowest polymorph**: 0.2131 eV/atom
**Energy relative to the elements, uncorrected**: 167 meV per atom
**DOS at the Fermi energy**: 1.48 states/eV/f.u.

***

Record 10
Al2Zn2Fe: optimized geometry, PBE.

```
10
Lattice="-0.5328 4.2678 4.9216 -6.4812 0.1501 -0.8318 -0.3390 -2.5564 2.1802" Properties=species:S:1:pos:R:3 pbc="T T T"
Zn -4.5682 3.7927 3.7369
Zn -2.4458 0.6252 0.3528
Zn -5.8104 1.6937 1.0826
Zn -1.2035 2.7242 3.0072
Fe -3.5070 2.2090 2.0449
Fe 0.0000 0.0000 0.0000
Al -1.4579 0.1482 2.5623
Al -2.7378 2.3056 4.8931
Al -4.6152 -0.4441 1.3769
Al -5.8950 1.7133 3.7076
```

Calculated values
**Space group**: No. 127
**E above lowest polymorph**: 0.0100 eV/atom
**DOS at the Fermi energy**: 1.86 states/eV/f.u.

***

Raw total energy for the records above, in order: -3.257, -7.276, -6.566, -3.613, -3.925, -5.097, -5.618, -6.390, -6.098, -3.427 eV per atom